Entry 1:
Material: Zn2InOs
Method: DFT, meta-GGA SCAN
State: PBEsol geometry

The formation energy from the elements is 30.22 kJ/mol of atoms. The total energy comes out at -32.761 eV/atom. The value obtained for the calculated volume is 15.28 Å³ per atom. For the density, the calculation gives 11.838 g/cm³.

The structure belongs to space group Cmmm (No. 65); the cell edges are 5.550, 6.758 and 3.260 Å and the angles 90.00°, 90.00° and 90.00°. The inequivalent atoms are Zn at (0.250, 0.250, 0.000), In at (0.000, 0.000, 0.500) and Os at (0.000, 0.500, 0.500).

Entry 2:
Material: ZrInOs2
Method: DFT, meta-GGA SCAN
State: PBEsol geometry

The formation energy from the elements is 22.00 kJ/mol of atoms. The total energy comes out at -51.733 eV/atom. The value obtained for the calculated volume is 17.29 Å³ per atom. For the density, the calculation gives 14.086 g/cm³.

The structure belongs to space group R-3m (No. 166, hexagonal axes); the cell edges are 3.0489, 3.0489 and 25.7659 Å and the angles 90.00°, 90.00° and 120.00°. The inequivalent atoms are Zr at (0.0000, 0.0000, 0.0000), In at (0.0000, 0.0000, 0.5000) and Os at (0.0000, 0.0000, 0.2528).

Entry 3:
Material: Zr2InOs
Method: DFT, meta-GGA SCAN
State: PBEsol geometry

The formation energy from the elements is -52.84 kJ/mol of atoms. The total energy comes out at -42.214 eV/atom. The value obtained for the calculated volume is 19.46 Å³ per atom. For the density, the calculation gives 10.400 g/cm³.

The structure belongs to space group P4/mmm (No. 123); the cell edges are 3.142, 3.142 and 7.882 Å and the angles 90.00°, 90.00° and 90.00°. The inequivalent atoms are Zr at (0.000, 0.000, 0.212), In at (0.500, 0.500, 0.500) and Os at (0.500, 0.500, 0.000).

Entry 4:
Material: ZrInOs2
Method: DFT, meta-GGA SCAN
State: PBEsol geometry

The formation energy from the elements is 28.45 kJ/mol of atoms. The total energy comes out at -51.666 eV/atom. The value obtained for the calculated volume is 16.90 Å³ per atom. For the density, the calculation gives 14.405 g/cm³.

The structure belongs to space group F-43m (No. 216); the cell edges are 6.467, 6.467 and 6.467 Å and the angles 90.00°, 90.00° and 90.00°. The inequivalent atoms are Zr at (0.000, 0.000, 0.000), In at (0.250, 0.250, 0.250), Os at (0.000, 0.000, 0.500) and Os at (0.250, 0.250, 0.750).

Entry 5:
Material: Zr2InOs
Method: DFT, meta-GGA SCAN
State: PBEsol geometry

The formation energy from the elements is -19.09 kJ/mol of atoms. The total energy comes out at -41.864 eV/atom. The value obtained for the calculated volume is 18.44 Å³ per atom. For the density, the calculation gives 10.975 g/cm³.

The structure belongs to space group F-43m (No. 216); the cell edges are 6.657, 6.657 and 6.657 Å and the angles 90.00°, 90.00° and 90.00°. The inequivalent atoms are Zr at (0.000, 0.000, 0.000), Zr at (0.250, 0.250, 0.250), In at (0.250, 0.250, 0.750) and Os at (0.000, 0.000, 0.500).

Entry 6:
Material: Zr2InOs
Method: DFT, meta-GGA SCAN
State: PBEsol geometry

The formation energy from the elements is -18.28 kJ/mol of atoms. The total energy comes out at -41.855 eV/atom. The value obtained for the calculated volume is 20.23 Å³ per atom. For the density, the calculation gives 10.003 g/cm³.

The structure belongs to space group R-3m (No. 166, hexagonal axes); the cell edges are 3.2420, 3.2420 and 26.6723 Å and the angles 90.00°, 90.00° and 120.00°. The inequivalent atoms are Zr at (0.0000, 0.0000, 0.2394), In at (0.0000, 0.0000, 0.0000) and Os at (0.0000, 0.0000, 0.5000).